1.
# Ag2HgF PBE-GGA relaxed
data_Ag2HgF
_cell_length_a 6.304
_cell_length_b 6.304
_cell_length_c 6.304
_cell_angle_alpha 44.44
_cell_angle_beta 44.44
_cell_angle_gamma 44.44
_space_group_name_H-M_alt 'P 1'
_space_group_IT_number 1
_space_group_name_Hall 'P 1'
loop_
_atom_site_label
_atom_site_type_symbol
_atom_site_fract_x
_atom_site_fract_y
_atom_site_fract_z
Ag1 Ag 0.129 0.129 0.129
Ag2 Ag 0.871 0.871 0.871
Hg1 Hg 0.500 0.500 0.500
F1 F 0.000 0.000 0.000
# ΔE to the lowest computed polymorph, kJ per mole of atoms: 13.0
# DOS at the Fermi energy, states/eV/f.u.: 1.6

=====

2.
# Ag3Hg4F12 PBE-GGA relaxed
data_Ag3Hg4F12
_cell_length_a 7.603
_cell_length_b 7.603
_cell_length_c 7.603
_cell_angle_alpha 109.47
_cell_angle_beta 109.47
_cell_angle_gamma 109.47
_space_group_name_H-M_alt 'P 1'
_space_group_IT_number 1
_space_group_name_Hall 'P 1'
loop_
_atom_site_label
_atom_site_type_symbol
_atom_site_fract_x
_atom_site_fract_y
_atom_site_fract_z
Ag1 Ag 0.000 0.500 0.500
Ag2 Ag 0.500 0.000 0.500
Ag3 Ag 0.500 0.500 0.000
Hg1 Hg 0.000 0.000 0.500
Hg2 Hg 0.000 0.500 0.000
Hg3 Hg 0.500 0.000 0.000
Hg4 Hg 0.500 0.500 0.500
F1 F 0.132 0.811 0.321
F2 F 0.189 0.321 0.510
F3 F 0.189 0.679 0.868
F4 F 0.321 0.132 0.811
F5 F 0.321 0.510 0.189
F6 F 0.490 0.811 0.679
F7 F 0.510 0.189 0.321
F8 F 0.679 0.490 0.811
F9 F 0.679 0.868 0.189
F10 F 0.811 0.321 0.132
F11 F 0.811 0.679 0.490
F12 F 0.868 0.189 0.679
# DOS at the Fermi energy, states/eV/f.u.: 10.9

=====

3.
# Ag2HgF PBE-GGA relaxed
data_Ag2HgF
_cell_length_a 5.831
_cell_length_b 5.831
_cell_length_c 5.831
_cell_angle_alpha 104.27
_cell_angle_beta 104.27
_cell_angle_gamma 120.45
_space_group_name_H-M_alt 'P 1'
_space_group_IT_number 1
_space_group_name_Hall 'P 1'
loop_
_atom_site_label
_atom_site_type_symbol
_atom_site_fract_x
_atom_site_fract_y
_atom_site_fract_z
Ag1 Ag 0.080 0.625 0.955
Ag2 Ag 0.375 0.330 0.455
Ag3 Ag 0.670 0.125 0.045
Ag4 Ag 0.875 0.920 0.545
Hg1 Hg 0.250 0.750 0.500
Hg2 Hg 0.500 0.500 0.000
F1 F 0.000 0.000 0.000
F2 F 0.750 0.250 0.500
# ΔE to the lowest computed polymorph, kJ per mole of atoms: 7.6
# DOS at the Fermi energy, states/eV/f.u.: 0.8

=====

4.
# AgHgF3 PBE-GGA relaxed
data_AgHgF3
_cell_length_a 4.545
_cell_length_b 4.545
_cell_length_c 4.545
_cell_angle_alpha 90.00
_cell_angle_beta 90.00
_cell_angle_gamma 90.00
_space_group_name_H-M_alt 'P 1'
_space_group_IT_number 1
_space_group_name_Hall 'P 1'
loop_
_atom_site_label
_atom_site_type_symbol
_atom_site_fract_x
_atom_site_fract_y
_atom_site_fract_z
Ag1 Ag 0.000 0.000 0.000
Hg1 Hg 0.500 0.500 0.500
F1 F 0.000 0.500 0.500
F2 F 0.500 0.000 0.500
F3 F 0.500 0.500 0.000
# ΔE to the lowest computed polymorph, kJ per mole of atoms: 17.0
# DOS at the Fermi energy, states/eV/f.u.: 0.3

=====

5.
First-principles (PBE-GGA) data for crystalline AgHgF5 at its relaxed geometry, as listed in Alexandria via LeMat-Bulk.

Geometry as CIF:
```
data_AgHgF5
_cell_length_a 5.380
_cell_length_b 5.387
_cell_length_c 8.149
_cell_angle_alpha 93.55
_cell_angle_beta 93.61
_cell_angle_gamma 101.13
_space_group_name_H-M_alt 'P 1'
_space_group_IT_number 1
_space_group_name_Hall 'P 1'
loop_
_atom_site_label
_atom_site_type_symbol
_atom_site_fract_x
_atom_site_fract_y
_atom_site_fract_z
Ag1 Ag 0.089 0.411 0.250
Ag2 Ag 0.911 0.589 0.750
Hg1 Hg 0.500 0.000 0.000
Hg2 Hg 0.500 0.000 0.500
F1 F 0.080 0.720 0.394
F2 F 0.136 0.111 0.117
F3 F 0.220 0.580 0.894
F4 F 0.389 0.364 0.383
F5 F 0.406 0.092 0.750
F6 F 0.594 0.908 0.250
F7 F 0.611 0.636 0.617
F8 F 0.780 0.420 0.106
F9 F 0.864 0.889 0.883
F10 F 0.920 0.280 0.606
```

=====

6.
# Ag2HgF3 PBE-GGA relaxed
data_Ag2HgF3
_cell_length_a 7.491
_cell_length_b 7.491
_cell_length_c 5.000
_cell_angle_alpha 90.00
_cell_angle_beta 90.00
_cell_angle_gamma 41.19
_space_group_name_H-M_alt 'P 1'
_space_group_IT_number 1
_space_group_name_Hall 'P 1'
loop_
_atom_site_label
_atom_site_type_symbol
_atom_site_fract_x
_atom_site_fract_y
_atom_site_fract_z
Ag1 Ag 0.067 0.630 0.500
Ag2 Ag 0.370 0.933 0.500
Ag3 Ag 0.630 0.067 0.000
Ag4 Ag 0.933 0.370 0.000
Hg1 Hg 0.167 0.833 0.080
Hg2 Hg 0.833 0.167 0.580
F1 F 0.105 0.535 0.000
F2 F 0.392 0.608 0.659
F3 F 0.465 0.895 0.000
F4 F 0.535 0.105 0.500
F5 F 0.608 0.392 0.159
F6 F 0.895 0.465 0.500
# ΔE to the lowest computed polymorph, kJ per mole of atoms: 0.0
# DOS at the Fermi energy, states/eV/f.u.: 1.1

=====

7.
# AgHgF6 PBE-GGA relaxed
data_AgHgF6
_cell_length_a 5.340
_cell_length_b 5.472
_cell_length_c 5.908
_cell_angle_alpha 64.62
_cell_angle_beta 63.81
_cell_angle_gamma 61.39
_space_group_name_H-M_alt 'P 1'
_space_group_IT_number 1
_space_group_name_Hall 'P 1'
loop_
_atom_site_label
_atom_site_type_symbol
_atom_site_fract_x
_atom_site_fract_y
_atom_site_fract_z
Ag1 Ag 0.000 0.000 0.000
Hg1 Hg 0.500 0.500 0.500
F1 F 0.091 0.767 0.771
F2 F 0.248 0.620 0.249
F3 F 0.364 0.100 0.766
F4 F 0.636 0.900 0.234
F5 F 0.752 0.380 0.751
F6 F 0.909 0.233 0.229
# ΔE to the lowest computed polymorph, kJ per mole of atoms: 0.0
# DOS at the Fermi energy, states/eV/f.u.: 3.2

=====

8.
# AgHg2F5 PBE-GGA relaxed
data_AgHg2F5
_cell_length_a 10.858
_cell_length_b 6.954
_cell_length_c 6.218
_cell_angle_alpha 90.00
_cell_angle_beta 90.00
_cell_angle_gamma 90.00
_space_group_name_H-M_alt 'P 1'
_space_group_IT_number 1
_space_group_name_Hall 'P 1'
loop_
_atom_site_label
_atom_site_type_symbol
_atom_site_fract_x
_atom_site_fract_y
_atom_site_fract_z
Ag1 Ag 0.001 0.250 0.015
Ag2 Ag 0.499 0.750 0.515
Ag3 Ag 0.501 0.250 0.485
Ag4 Ag 0.999 0.750 0.985
Hg1 Hg 0.171 0.001 0.483
Hg2 Hg 0.171 0.499 0.483
Hg3 Hg 0.329 0.501 0.983
Hg4 Hg 0.329 0.999 0.983
Hg5 Hg 0.671 0.001 0.017
Hg6 Hg 0.671 0.499 0.017
Hg7 Hg 0.829 0.501 0.517
Hg8 Hg 0.829 0.999 0.517
F1 F 0.011 0.250 0.488
F2 F 0.117 0.005 0.843
F3 F 0.117 0.495 0.843
F4 F 0.190 0.750 0.220
F5 F 0.207 0.250 0.204
F6 F 0.293 0.750 0.704
F7 F 0.310 0.250 0.720
F8 F 0.383 0.505 0.343
F9 F 0.383 0.995 0.343
F10 F 0.489 0.750 0.988
F11 F 0.511 0.250 0.012
F12 F 0.617 0.005 0.657
F13 F 0.617 0.495 0.657
F14 F 0.690 0.750 0.280
F15 F 0.707 0.250 0.296
F16 F 0.793 0.750 0.796
F17 F 0.810 0.250 0.780
F18 F 0.883 0.505 0.157
F19 F 0.883 0.995 0.157
F20 F 0.989 0.750 0.512
# DOS at the Fermi energy, states/eV/f.u.: 3.0

=====

Number 1: raw formation energy -0.363 eV/atom. Number 2: raw formation energy -1.269 eV/atom. Number 3: raw formation energy -0.419 eV/atom. Number 4: raw formation energy -1.055 eV/atom. Number 5: raw formation energy -1.159 eV/atom. Number 6: raw formation energy -1.016 eV/atom. Number 7: raw formation energy -1.059 eV/atom. Number 8: raw formation energy -1.254 eV/atom.